Entry 1:
# GGA-PBE CeHoPtO6, relaxed
# ΔE_f (raw): -19.73 eV/f.u.
data_CeHoPtO6
_cell_length_a 4.9945
_cell_length_b 4.9945
_cell_length_c 10.1643
_cell_angle_alpha 90.00
_cell_angle_beta 90.00
_cell_angle_gamma 90.00
_symmetry_space_group_name_H-M 'P 42 n m'
_symmetry_Int_Tables_number 102
loop_
_symmetry_equiv_pos_as_xyz
'x,y,z'
'-y+1/2,x+1/2,z+1/2'
'-x,-y,z'
'y+1/2,-x+1/2,z+1/2'
'-x+1/2,y+1/2,z+1/2'
'y,x,z'
'x+1/2,-y+1/2,z+1/2'
'-y,-x,z'
loop_
_atom_site_label
_atom_site_fract_x
_atom_site_fract_y
_atom_site_fract_z
Ce1 0.0000 0.0000 0.0000
Ho1 0.0000 0.0000 0.6628
Pt1 0.0000 0.0000 0.3312
O1 0.1865 0.1865 0.1815
O2 0.1866 0.1866 0.4807
O3 0.2157 0.2157 0.8308

***

Entry 2:
# GGA-PBE TiNb3Re3, relaxed
# Formation enthalpy at 0 K: -0.17 eV/f.u.
data_TiNb3Re3
_cell_length_a 8.8698
_cell_length_b 8.9572
_cell_length_c 6.2312
_cell_angle_alpha 90.00
_cell_angle_beta 90.00
_cell_angle_gamma 90.00
_symmetry_space_group_name_H-M 'C m m m'
_symmetry_Int_Tables_number 65
_symmetry_space_group_name_Hall '-C 2 2'
loop_
_atom_site_label
_atom_site_fract_x
_atom_site_fract_y
_atom_site_fract_z
Ti1 0.0000 0.2453 0.0000
Nb1 0.0000 0.2562 0.5000
Nb2 0.2397 0.5000 0.5000
Nb3 0.2441 0.5000 0.0000
Re1 0.0000 0.0000 0.2499
Re2 0.2500 0.2500 0.2473

***

Entry 3:
# GGA-PBE FeGe2Pd2, relaxed
# Formation enthalpy at 0 K: -0.42 eV/f.u.
data_FeGe2Pd2
_cell_length_a 6.9855
_cell_length_b 6.9855
_cell_length_c 3.1566
_cell_angle_alpha 90.00
_cell_angle_beta 90.00
_cell_angle_gamma 90.00
_symmetry_space_group_name_H-M 'P 4/m b m'
_symmetry_Int_Tables_number 127
_symmetry_space_group_name_Hall '-P 4 2ab'
loop_
_atom_site_label
_atom_site_fract_x
_atom_site_fract_y
_atom_site_fract_z
Fe1 0.0000 0.0000 0.0000
Ge1 0.1548 0.3452 0.0000
Pd1 0.1455 0.6455 0.5000

***

| no. | DOS(E_F) (states/eV per cell) |
| --- | --- |
| 1 | 13.59 |
| 2 | 20.19 |
| 3 | 7.25 |